# 1
A geometry-optimized AcLuTlAg structure, computed with PBE-GGA.

**Final energy**: -0.27330 Ry/atom
**Magnetization**: 0.0 μB/f.u.
**Space-group type**: F-43m, No. 216
**E_form**: -0.26 eV per atom

abc: 5.489 5.489 5.489
angles: 60.00 60.00 60.00
Atoms (fractional coordinates):
Ag: 0.250 0.250 0.250
Tl: 0.750 0.750 0.750
Ac: 0.500 0.500 0.500
Lu: 0.000 0.000 0.000

# 2
A geometry-optimized KBeP structure, computed with PBE-GGA.

**Final energy**: -0.23673 Ry/atom
**Magnetization**: 0.0 μB/f.u.
**Space-group type**: I4mm, No. 107
**E_form**: 0.19 eV per atom

abc: 6.236 6.236 3.310
angles: 74.62 74.60 30.78
Atoms (fractional coordinates):
P: 0.597 0.597 0.403
K: 0.326 0.326 0.674
Be: 0.077 0.077 0.923

# 3
A geometry-optimized V2As2Au structure, computed with PBE-GGA.

**Final energy**: -0.46650 Ry/atom
**Magnetization**: 0.5 μB/f.u.
**Distance to the lowest polymorph of the same formula**: 0 meV per atom
**Space-group type**: P4/mbm, No. 127
**E_form**: -0.18 eV per atom

abc: 7.033 7.033 3.226
angles: 90.00 90.00 90.00
Atoms (fractional coordinates):
As: 0.152 0.652 0.500
As: 0.848 0.348 0.500
As: 0.652 0.848 0.500
As: 0.348 0.152 0.500
Au: 0.000 0.000 0.000
Au: 0.500 0.500 0.000
V: 0.135 0.365 0.000
V: 0.865 0.635 0.000
V: 0.635 0.135 0.000
V: 0.365 0.865 0.000

# 4
A geometry-optimized Rb2CdHgBi structure, computed with PBE-GGA.

**Final energy**: -0.11299 Ry/atom
**Magnetization**: 0.0 μB/f.u.
**Distance to the lowest polymorph of the same formula**: 0 meV per atom
**Space-group type**: P4/mmm, No. 123
**E_form**: -0.13 eV per atom

abc: 7.255 7.255 5.849
angles: 90.00 90.00 90.00
Atoms (fractional coordinates):
Bi: 0.000 0.000 0.000
Rb: 0.000 0.500 0.000
Rb: 0.500 0.000 0.000
Cd: 0.000 0.000 0.500
Hg: 0.500 0.500 0.500

# 5
A geometry-optimized Pm2DyTcN4 structure, computed with PBE-GGA.

**Final energy**: -0.59965 Ry/atom
**Magnetization**: 0.0 μB/f.u.
**Space-group type**: Cmcm, No. 63

abc: 3.461 6.183 11.969
angles: 90.00 90.00 106.25
Atoms (fractional coordinates):
Tc: 0.862 0.724 0.750
Tc: 0.138 0.276 0.250
Pm: 0.368 0.735 0.540
Pm: 0.632 0.265 0.040
Pm: 0.368 0.735 0.960
Pm: 0.632 0.265 0.460
Dy: 0.133 0.266 0.750
Dy: 0.867 0.734 0.250
N: 0.441 0.883 0.750
N: 0.732 0.464 0.637
N: 0.268 0.536 0.137
N: 0.000 0.000 0.500
N: 0.268 0.536 0.363
N: 0.732 0.464 0.863
N: 0.000 0.000 0.000
N: 0.559 0.117 0.250

# 6
A geometry-optimized Rb2HoPa2Se6 structure, computed with PBE-GGA.

**Final energy**: -0.41952 Ry/atom
**Magnetization**: 3.0 μB/f.u.
**Space-group type**: C2/m, No. 12

abc: 7.196 7.196 8.610
angles: 97.90 97.90 119.70
Atoms (fractional coordinates):
Ho: 0.000 0.000 0.500
Rb: 0.167 0.833 0.000
Rb: 0.833 0.167 0.000
Se: 0.937 0.603 0.307
Se: 0.063 0.397 0.693
Se: 0.397 0.063 0.693
Se: 0.734 0.734 0.697
Se: 0.266 0.266 0.303
Se: 0.603 0.937 0.307
Pa: 0.664 0.336 0.500
Pa: 0.336 0.664 0.500